No. 1
Entry from Alexandria: a geometry-optimized Ba2HfZr2 structure (GGA-PBE).

Output
For the calculated formation energy, the calculation gives 1033 meV per atom.

```
data_Ba2HfZr2
_cell_length_a 8.677
_cell_length_b 8.677
_cell_length_c 8.677
_cell_angle_alpha 150.10
_cell_angle_beta 150.10
_cell_angle_gamma 42.79
_symmetry_space_group_name_H-M 'P 1'
_symmetry_Int_Tables_number 1
loop_
_symmetry_equiv_pos_as_xyz
'x,y,z'
loop_
_atom_site_label
_atom_site_type_symbol
_atom_site_fract_x
_atom_site_fract_y
_atom_site_fract_z
Ba1 Ba 0.250 0.750 0.500
Ba2 Ba 0.750 0.250 0.500
Hf1 Hf 0.000 0.000 0.000
Zr1 Zr 0.423 0.423 0.000
Zr2 Zr 0.577 0.577 0.000
```

No. 2
Entry from Alexandria: a geometry-optimized Ca3CuAg3 structure (GGA-PBE).

Output
For the calculated formation energy, the calculation gives -264 meV per atom.

```
data_Ca3CuAg3
_cell_length_a 5.895
_cell_length_b 5.895
_cell_length_c 15.653
_cell_angle_alpha 107.16
_cell_angle_beta 107.16
_cell_angle_gamma 42.67
_symmetry_space_group_name_H-M 'P 1'
_symmetry_Int_Tables_number 1
loop_
_symmetry_equiv_pos_as_xyz
'x,y,z'
loop_
_atom_site_label
_atom_site_type_symbol
_atom_site_fract_x
_atom_site_fract_y
_atom_site_fract_z
Ca1 Ca 0.032 0.032 0.389
Ca2 Ca 0.105 0.105 0.921
Ca3 Ca 0.245 0.245 0.239
Ca4 Ca 0.755 0.755 0.761
Ca5 Ca 0.895 0.895 0.079
Ca6 Ca 0.968 0.968 0.611
Cu1 Cu 0.267 0.267 0.614
Cu2 Cu 0.733 0.733 0.386
Ag1 Ag 0.358 0.358 0.461
Ag2 Ag 0.389 0.389 0.921
Ag3 Ag 0.468 0.468 0.764
Ag4 Ag 0.532 0.532 0.236
Ag5 Ag 0.611 0.611 0.079
Ag6 Ag 0.642 0.642 0.539
```

No. 3
Entry from Alexandria: a geometry-optimized CeEr2Pb9 structure (GGA-PBE).

Output
For the calculated formation energy, the calculation gives -277 meV per atom.

```
data_CeEr2Pb9
_cell_length_a 4.895
_cell_length_b 4.895
_cell_length_c 14.627
_cell_angle_alpha 90.00
_cell_angle_beta 90.00
_cell_angle_gamma 90.00
_symmetry_space_group_name_H-M 'P 1'
_symmetry_Int_Tables_number 1
loop_
_symmetry_equiv_pos_as_xyz
'x,y,z'
loop_
_atom_site_label
_atom_site_type_symbol
_atom_site_fract_x
_atom_site_fract_y
_atom_site_fract_z
Ce1 Ce 0.000 0.000 0.000
Er1 Er 0.000 0.000 0.328
Er2 Er 0.000 0.000 0.672
Pb1 Pb 0.000 0.500 0.169
Pb2 Pb 0.000 0.500 0.500
Pb3 Pb 0.000 0.500 0.831
Pb4 Pb 0.500 0.000 0.169
Pb5 Pb 0.500 0.000 0.500
Pb6 Pb 0.500 0.000 0.831
Pb7 Pb 0.500 0.500 0.000
Pb8 Pb 0.500 0.500 0.335
Pb9 Pb 0.500 0.500 0.665
```

No. 4
Entry from Alexandria: a geometry-optimized La8Dy6Cd structure (GGA-PBE).

Output
For the calculated formation energy, the calculation gives 92 meV per atom.

```
data_La8Dy6Cd
_cell_length_a 9.396
_cell_length_b 9.396
_cell_length_c 6.661
_cell_angle_alpha 90.00
_cell_angle_beta 90.00
_cell_angle_gamma 120.00
_symmetry_space_group_name_H-M 'P 1'
_symmetry_Int_Tables_number 1
loop_
_symmetry_equiv_pos_as_xyz
'x,y,z'
loop_
_atom_site_label
_atom_site_type_symbol
_atom_site_fract_x
_atom_site_fract_y
_atom_site_fract_z
La1 La 0.048 0.769 0.325
La2 La 0.231 0.279 0.325
La3 La 0.279 0.048 0.675
La4 La 0.333 0.667 0.368
La5 La 0.667 0.333 0.632
La6 La 0.721 0.952 0.325
La7 La 0.769 0.721 0.675
La8 La 0.952 0.231 0.675
Dy1 Dy 0.101 0.654 0.843
Dy2 Dy 0.346 0.446 0.843
Dy3 Dy 0.446 0.101 0.157
Dy4 Dy 0.554 0.899 0.843
Dy5 Dy 0.654 0.554 0.157
Dy6 Dy 0.899 0.346 0.157
Cd1 Cd 0.000 0.000 0.000
```

No. 5
Entry from Alexandria: a geometry-optimized K2Bi4Pd3 structure (GGA-PBE).

Output
For the calculated formation energy, the calculation gives -328 meV per atom.

```
data_K2Bi4Pd3
_cell_length_a 9.126
_cell_length_b 7.927
_cell_length_c 6.366
_cell_angle_alpha 78.53
_cell_angle_beta 58.35
_cell_angle_gamma 43.12
_symmetry_space_group_name_H-M 'P 1'
_symmetry_Int_Tables_number 1
loop_
_symmetry_equiv_pos_as_xyz
'x,y,z'
loop_
_atom_site_label
_atom_site_type_symbol
_atom_site_fract_x
_atom_site_fract_y
_atom_site_fract_z
K1 K 0.123 0.123 0.877
K2 K 0.877 0.877 0.123
Bi1 Bi 0.189 0.521 0.479
Bi2 Bi 0.479 0.811 0.189
Bi3 Bi 0.521 0.189 0.811
Bi4 Bi 0.811 0.479 0.521
Pd1 Pd 0.000 0.000 0.500
Pd2 Pd 0.500 0.500 0.000
Pd3 Pd 0.500 0.500 0.500
```

No. 6
Entry from Alexandria: a geometry-optimized SmMg4Ag5 structure (GGA-PBE).

Output
For the calculated formation energy, the calculation gives -236 meV per atom.

```
data_SmMg4Ag5
_cell_length_a 3.415
_cell_length_b 3.415
_cell_length_c 17.039
_cell_angle_alpha 90.00
_cell_angle_beta 90.00
_cell_angle_gamma 90.00
_symmetry_space_group_name_H-M 'P 1'
_symmetry_Int_Tables_number 1
loop_
_symmetry_equiv_pos_as_xyz
'x,y,z'
loop_
_atom_site_label
_atom_site_type_symbol
_atom_site_fract_x
_atom_site_fract_y
_atom_site_fract_z
Sm1 Sm 0.000 0.000 0.000
Mg1 Mg 0.000 0.000 0.216
Mg2 Mg 0.000 0.000 0.406
Mg3 Mg 0.000 0.000 0.594
Mg4 Mg 0.000 0.000 0.784
Ag1 Ag 0.500 0.500 0.125
Ag2 Ag 0.500 0.500 0.312
Ag3 Ag 0.500 0.500 0.500
Ag4 Ag 0.500 0.500 0.688
Ag5 Ag 0.500 0.500 0.875
```

No. 7
Entry from Alexandria: a geometry-optimized NaHo2Sc3Se6 structure (GGA-PBE).

Output
The calculation puts the uncorrected formation energy at -1.644 eV/atom.

```
data_NaHo2Sc3Se6
_cell_length_a 8.907
_cell_length_b 8.907
_cell_length_c 8.014
_cell_angle_alpha 103.50
_cell_angle_beta 103.50
_cell_angle_gamma 25.63
_symmetry_space_group_name_H-M 'P 1'
_symmetry_Int_Tables_number 1
loop_
_symmetry_equiv_pos_as_xyz
'x,y,z'
loop_
_atom_site_label
_atom_site_type_symbol
_atom_site_fract_x
_atom_site_fract_y
_atom_site_fract_z
Na1 Na 0.000 0.000 0.000
Ho1 Ho 0.333 0.333 0.663
Ho2 Ho 0.667 0.667 0.337
Sc1 Sc 0.000 0.000 0.500
Sc2 Sc 0.336 0.336 0.179
Sc3 Sc 0.664 0.664 0.821
Se1 Se 0.163 0.163 0.589
Se2 Se 0.171 0.171 0.075
Se3 Se 0.498 0.498 0.260
Se4 Se 0.502 0.502 0.740
Se5 Se 0.829 0.829 0.925
Se6 Se 0.837 0.837 0.411
```

No. 8
Entry from Alexandria: a geometry-optimized Pm4Sb2Te structure (GGA-PBE).

Output
The calculation puts the uncorrected formation energy at -1.116 eV/atom.

```
data_Pm4Sb2Te
_cell_length_a 8.160
_cell_length_b 8.160
_cell_length_c 8.160
_cell_angle_alpha 109.59
_cell_angle_beta 109.59
_cell_angle_gamma 109.24
_symmetry_space_group_name_H-M 'P 1'
_symmetry_Int_Tables_number 1
loop_
_symmetry_equiv_pos_as_xyz
'x,y,z'
loop_
_atom_site_label
_atom_site_type_symbol
_atom_site_fract_x
_atom_site_fract_y
_atom_site_fract_z
Pm1 Pm 0.126 0.233 0.748
Pm2 Pm 0.128 0.735 0.752
Pm3 Pm 0.265 0.017 0.393
Pm4 Pm 0.485 0.378 0.252
Pm5 Pm 0.622 0.874 0.107
Pm6 Pm 0.624 0.872 0.607
Pm7 Pm 0.767 0.515 0.893
Pm8 Pm 0.983 0.376 0.248
Sb1 Sb 0.250 0.625 0.125
Sb2 Sb 0.375 0.500 0.625
Sb3 Sb 0.500 0.125 0.875
Sb4 Sb 0.875 0.750 0.375
Te1 Te 0.000 0.000 0.000
Te2 Te 0.750 0.250 0.500
```

Number 1: DOS(E_F) 2.113 states/eV/atom, total magnetization 0.898 μB/f.u.. Number 2: DOS(E_F) 0.504 states/eV/atom, total magnetization 0.000 μB/f.u.. Number 3: DOS(E_F) 0.946 states/eV/atom, total magnetization 1.032 μB/f.u.. Number 4: DOS(E_F) 1.421 states/eV/atom, total magnetization 0.000 μB/f.u.. Number 5: DOS(E_F) 0.385 states/eV/atom, total magnetization 0.000 μB/f.u.. Number 6: DOS(E_F) 0.371 states/eV/atom, total magnetization 0.001 μB/f.u.. Number 7: DOS(E_F) 0.389 states/eV/atom, total magnetization 0.000 μB/f.u.. Number 8: DOS(E_F) 1.092 states/eV/atom, total magnetization 0.000 μB/f.u..